Computed, not measured: a relaxed structure of Mg2CuSe at the PBE-GGA level of DFT.

Output
Total magnetic moment in μB per cell: 0.0
Calculated total energy in eV per atom: -2.9833
E_form (uncorrected) in eV/f.u.: -1.2

Cell: 6.421 6.493 3.509 Å, 90.00 90.42 90.00°
Space group C2/m (No. 12)
One atom of each set of equivalent atoms:
Mg 0.250 0.250 0.000 x4
Cu 0.000 0.000 0.500 x2
Se 0.000 0.500 0.500 x2

=====

Computed, not measured: a relaxed structure of Al2IrW at the PBE-GGA level of DFT.

Output
Total magnetic moment in μB per cell: 0.0
Offset from the most stable computed form in eV per formula unit: 0.621
Calculated total energy in eV per atom: -7.5539
Energy relative to the elements in meV per atom: -229

Cell: 2.800 4.179 5.179 Å, 90.00 95.67 90.00°
Space group P2/m (No. 10)
One atom of each set of equivalent atoms:
Al 0.157 0.000 0.251 x2
Ir 0.000 0.500 0.500 x1
W 0.500 0.500 0.000 x1

=====

Computed, not measured: a relaxed structure of CaFeP2Cl at the PBE-GGA level of DFT.

Output
Total magnetic moment in μB per cell: 2.7
Offset from the most stable computed form in eV per formula unit: 0.000
Calculated total energy in eV per atom: -5.0743
E_form (uncorrected) in eV/f.u.: -2.2

Cell: 4.315 4.315 5.599 Å, 90.00 90.00 90.00°
Space group P4/mmm (No. 123)
One atom of each set of equivalent atoms:
Ca 0.000 0.000 0.000 x1
Fe 0.500 0.500 0.500 x1
P 0.000 0.500 0.500 x2
Cl 0.500 0.500 0.000 x1

=====

Ρ per entry: 4.338; 11.841; 3.079 g/cm3